Entry 1:
The following is a PBE-GGA calculation of a geometry-optimized LiNbNi6 structure, from Alexandria via LeMat-Bulk.

a = 6.254 Å, b = 6.254 Å, c = 10.223 Å
α = 90.00°, β = 90.00°, γ = 109.88°
Atoms (fractional coordinates):
1 Li 0.000 0.000 0.245
2 Li 0.000 0.000 0.755
3 Li 0.256 0.744 0.000
4 Li 0.744 0.256 0.000
5 Nb 0.254 0.746 0.500
6 Nb 0.500 0.500 0.243
7 Nb 0.500 0.500 0.757
8 Nb 0.746 0.254 0.500
9 Ni 0.000 0.000 0.000
10 Ni 0.000 0.000 0.500
11 Ni 0.118 0.372 0.122
12 Ni 0.118 0.372 0.878
13 Ni 0.122 0.369 0.373
14 Ni 0.122 0.369 0.627
15 Ni 0.249 0.751 0.246
16 Ni 0.249 0.751 0.754
17 Ni 0.369 0.122 0.373
18 Ni 0.369 0.122 0.627
19 Ni 0.372 0.118 0.122
20 Ni 0.372 0.118 0.878
21 Ni 0.500 0.500 0.000
22 Ni 0.500 0.500 0.500
23 Ni 0.628 0.882 0.122
24 Ni 0.628 0.882 0.878
25 Ni 0.631 0.878 0.373
26 Ni 0.631 0.878 0.627
27 Ni 0.751 0.249 0.246
28 Ni 0.751 0.249 0.754
29 Ni 0.878 0.631 0.373
30 Ni 0.878 0.631 0.627
31 Ni 0.882 0.628 0.122
32 Ni 0.882 0.628 0.878

Calculated values
Calculated density (g/cm³): 7.98
Formation energy from the elements (eV/atom): -0.150
Size of the total moment (μB/atom): 0.1311
SG: No. 65


Entry 2:
The following is a PBE-GGA calculation of a geometry-optimized BaCaMgCl6 structure, from Alexandria via LeMat-Bulk.

a = 6.895 Å, b = 6.895 Å, c = 13.232 Å
α = 90.00°, β = 90.00°, γ = 120.00°
Atoms (fractional coordinates):
1 Ba 0.000 0.000 0.000
2 Ba 0.000 0.000 0.500
3 Ca 0.333 0.667 0.250
4 Ca 0.667 0.333 0.750
5 Mg 0.333 0.667 0.750
6 Mg 0.667 0.333 0.250
7 Cl 0.023 0.377 0.639
8 Cl 0.023 0.646 0.861
9 Cl 0.354 0.377 0.861
10 Cl 0.354 0.977 0.639
11 Cl 0.377 0.023 0.139
12 Cl 0.377 0.354 0.361
13 Cl 0.623 0.646 0.639
14 Cl 0.623 0.977 0.861
15 Cl 0.646 0.023 0.361
16 Cl 0.646 0.623 0.139
17 Cl 0.977 0.354 0.139
18 Cl 0.977 0.623 0.361

Calculated values
Calculated density (g/cm³): 2.53
Size of the total moment (μB/atom): 0.0000
SG: No. 163
ΔE_f (raw) (eV per formula unit): -20.239


Entry 3:
The following is a PBE-GGA calculation of a geometry-optimized TbSm4Se5 structure, from Alexandria via LeMat-Bulk.

a = 15.043 Å, b = 15.043 Å, c = 15.043 Å
α = 164.14°, β = 164.14°, γ = 22.51°
Atoms (fractional coordinates):
1 Tb 0.000 0.000 0.000
2 Sm 0.196 0.196 0.000
3 Sm 0.398 0.398 0.000
4 Sm 0.602 0.602 0.000
5 Sm 0.804 0.804 0.000
6 Se 0.097 0.097 0.000
7 Se 0.298 0.298 0.000
8 Se 0.500 0.500 0.000
9 Se 0.702 0.702 0.000
10 Se 0.903 0.903 0.000

Calculated values
Calculated density (g/cm³): 7.54
Size of the total moment (μB/atom): 0.0000
SG: No. 139
ΔE_f (raw) (eV per formula unit): -18.062


Entry 4:
The following is a PBE-GGA calculation of a geometry-optimized Nd2GeBPd6 structure, from Alexandria via LeMat-Bulk.

a = 5.793 Å, b = 8.763 Å, c = 7.244 Å
α = 90.00°, β = 90.00°, γ = 90.00°
Atoms (fractional coordinates):
1 Nd 0.250 0.033 0.216
2 Nd 0.250 0.467 0.216
3 Nd 0.750 0.533 0.784
4 Nd 0.750 0.967 0.784
5 Ge 0.250 0.750 0.820
6 Ge 0.750 0.250 0.180
7 B 0.250 0.250 0.687
8 B 0.750 0.750 0.313
9 Pd 0.005 0.250 0.901
10 Pd 0.013 0.750 0.510
11 Pd 0.250 0.009 0.657
12 Pd 0.250 0.491 0.657
13 Pd 0.487 0.750 0.510
14 Pd 0.495 0.250 0.901
15 Pd 0.505 0.750 0.099
16 Pd 0.513 0.250 0.490
17 Pd 0.750 0.509 0.343
18 Pd 0.750 0.991 0.343
19 Pd 0.987 0.250 0.490
20 Pd 0.995 0.750 0.099

Calculated values
Calculated density (g/cm³): 9.13
Formation energy from the elements (eV/atom): -0.697
Size of the total moment (μB/atom): 0.0000
SG: No. 59


Question: calculated density of number 2 (BaCaMgCl6)?
Answer: 2.53 g/cm³


Question: The highest calculated density belongs to which entry?
Answer: Nd2GeBPd6


Question: What is the calculated density in the fourth record?
Answer: 9.13 g/cm³


Question: Among the records above, which one has the highest calculated density?
Answer: Nd2GeBPd6